(1)
# BaLiMg

A relaxed structure of BaLiMg (GGA-PBE, the Alexandria database).

```
BaLiMg
1.0
5.5138 0.0000 0.0000
-2.7569 4.7751 0.0000
0.0000 0.0000 4.1334
Ba Li Mg
1 1 1
Direct
0.0000 0.0000 0.0000
0.6667 0.3333 0.5000
0.3333 0.6667 0.5000
```

Computed properties:
ΔH_f (0 K)	0.021	eV per atom
DFT total energy	-5.368	eV for the cell shown
size of the total moment	0.0	μB/cell

(2)
# SnBPdPt2

A relaxed structure of SnBPdPt2 (GGA-PBE, the Alexandria database).

```
SnBPdPt2
1.0
4.2437 0.0000 0.0000
0.0000 4.2437 0.0000
0.0000 0.0000 4.3854
Sn B Pd Pt
1 1 1 2
Direct
0.0000 0.0000 0.0000
0.5000 0.5000 0.5000
0.5000 0.5000 0.0000
0.0000 0.5000 0.5000
0.5000 0.0000 0.5000
```

Computed properties:
ΔH_f (0 K)	-0.182	eV per atom
DFT total energy	-28.863	eV for the cell shown
size of the total moment	0.0	μB/cell

(3)
# Pr3Al2Zn7

A relaxed structure of Pr3Al2Zn7 (GGA-PBE, the Alexandria database).

```
Pr3Al2Zn7
1.0
-2.1623 2.1623 13.9815
2.1623 -2.1623 13.9815
2.1623 2.1623 -13.9815
Pr Al Zn
3 2 7
Direct
0.0000 0.0000 0.0000
0.1685 0.1685 0.0000
0.8315 0.8315 0.0000
0.3692 0.3692 0.0000
0.6308 0.6308 0.0000
0.0795 0.5795 0.5000
0.2776 0.2776 0.0000
0.4205 0.9205 0.5000
0.5000 0.5000 0.0000
0.5795 0.0795 0.5000
0.7224 0.7224 0.0000
0.9205 0.4205 0.5000
```

Computed properties:
ΔH_f (0 K)	-0.182	eV per atom
DFT total energy	-32.931	eV for the cell shown
size of the total moment	0.0	μB/cell

(4)
# La2Pr3Sn4

A relaxed structure of La2Pr3Sn4 (GGA-PBE, the Alexandria database).

```
La2Pr3Sn4
1.0
8.6226 0.0000 0.0000
0.0000 8.6611 0.0000
-2.8043 0.0000 7.8151
La Pr Sn
4 6 8
Direct
0.1936 0.1810 0.0682
0.1936 0.3190 0.5682
0.8064 0.6810 0.4318
0.8064 0.8190 0.9318
0.2457 0.6720 0.2427
0.2457 0.8280 0.7427
0.5000 0.0000 0.5000
0.5000 0.5000 0.0000
0.7543 0.1720 0.2573
0.7543 0.3280 0.7573
0.0811 0.5354 0.8439
0.0811 0.9646 0.3439
0.4861 0.1319 0.8678
0.4861 0.3681 0.3678
0.5139 0.6319 0.6322
0.5139 0.8681 0.1322
0.9189 0.0354 0.6561
0.9189 0.4646 0.1561
```

Computed properties:
ΔH_f (0 K)	-0.784	eV per atom
DFT total energy	-94.513	eV for the cell shown
size of the total moment	0.0	μB/cell

(5)
# Tb5HoRu3

A relaxed structure of Tb5HoRu3 (GGA-PBE, the Alexandria database).

```
Tb5HoRu3
1.0
6.1480 -4.5315 0.0000
6.1480 4.5315 0.0000
-3.8129 0.0000 9.1860
Tb Ho Ru
10 2 6
Direct
0.0639 0.0639 0.3657
0.1332 0.5308 0.3351
0.1997 0.8003 0.0000
0.2670 0.2670 0.9653
0.4692 0.8668 0.6649
0.5308 0.1332 0.3351
0.7330 0.7330 0.0347
0.8003 0.1997 0.0000
0.8668 0.4692 0.6649
0.9361 0.9361 0.6343
0.4016 0.4016 0.7016
0.5984 0.5984 0.2984
0.1660 0.1660 0.1662
0.1689 0.1689 0.6649
0.5000 0.5000 0.0000
0.5000 0.5000 0.5000
0.8311 0.8311 0.3351
0.8340 0.8340 0.8338
```

Computed properties:
ΔH_f (0 K)	-0.212	eV per atom
DFT total energy	-114.934	eV for the cell shown
size of the total moment	0.0	μB/cell

(6)
# NbSb3Se

A relaxed structure of NbSb3Se (GGA-PBE, the Alexandria database).

```
NbSb3Se
1.0
5.3130 0.0000 0.0000
0.0000 5.3130 0.0000
0.0000 0.0000 5.3130
Nb Sb Se
1 3 1
Direct
0.0000 0.0000 0.0000
0.0000 0.0000 0.5000
0.0000 0.5000 0.0000
0.5000 0.0000 0.0000
0.5000 0.5000 0.5000
```

Computed properties:
raw formation energy	0.380	eV/atom
DFT total energy	-24.023	eV for the cell shown
size of the total moment	0.0	μB/cell

Repeat the first record exactly.
# BaLiMg

A relaxed structure of BaLiMg (GGA-PBE, the Alexandria database).

```
BaLiMg
1.0
5.5138 0.0000 0.0000
-2.7569 4.7751 0.0000
0.0000 0.0000 4.1334
Ba Li Mg
1 1 1
Direct
0.0000 0.0000 0.0000
0.6667 0.3333 0.5000
0.3333 0.6667 0.5000
```

Computed properties:
ΔH_f (0 K)	0.021	eV per atom
DFT total energy	-5.368	eV for the cell shown
size of the total moment	0.0	μB/cell

Copy entry 3 word for word.
# Pr3Al2Zn7

A relaxed structure of Pr3Al2Zn7 (GGA-PBE, the Alexandria database).

```
Pr3Al2Zn7
1.0
-2.1623 2.1623 13.9815
2.1623 -2.1623 13.9815
2.1623 2.1623 -13.9815
Pr Al Zn
3 2 7
Direct
0.0000 0.0000 0.0000
0.1685 0.1685 0.0000
0.8315 0.8315 0.0000
0.3692 0.3692 0.0000
0.6308 0.6308 0.0000
0.0795 0.5795 0.5000
0.2776 0.2776 0.0000
0.4205 0.9205 0.5000
0.5000 0.5000 0.0000
0.5795 0.0795 0.5000
0.7224 0.7224 0.0000
0.9205 0.4205 0.5000
```

Computed properties:
ΔH_f (0 K)	-0.182	eV per atom
DFT total energy	-32.931	eV for the cell shown
size of the total moment	0.0	μB/cell